# 1
DFT (PBE) results for crystalline LaErRu2 at its relaxed geometry.

Structure (POSCAR):
```
LaErRu2
1.0
3.458 0.000 0.000
0.000 3.458 0.000
0.000 0.000 6.903
Ru La Er
2 1 1
Cartesian
0.000 0.000 5.218
0.000 0.000 1.686
1.729 1.729 3.452
1.729 1.729 0.000
```

## Properties
The calculation puts the electronic total energy at -0.5313 Ry/atom.


# 2
DFT (PBE) results for crystalline LaEr3Ru2 at its relaxed geometry.

Structure (POSCAR):
```
LaEr3Ru2
1.0
3.405 0.000 0.000
0.000 3.405 0.000
0.000 0.000 12.590
Ru La Er
2 1 3
Cartesian
1.703 1.703 10.837
1.703 1.703 1.752
1.703 1.703 6.295
0.000 0.000 9.285
0.000 0.000 0.000
0.000 0.000 3.305
```

## Properties
The calculation puts the electronic total energy at -0.4787 Ry/atom.


# 3
DFT (PBE) results for crystalline La2ErRu at its relaxed geometry.

Structure (POSCAR):
```
La2ErRu
1.0
-3.616 -0.621 1.771
0.940 -4.582 -4.380
4.128 -5.401 6.536
Er La Ru
2 4 2
Cartesian
2.949 -4.879 4.311
-1.497 -5.725 -0.384
1.728 -6.606 1.206
3.214 -8.550 3.559
-0.276 -3.998 2.721
-1.762 -2.054 0.369
0.868 -6.726 4.099
0.584 -3.878 -0.172
```

## Properties
The calculation puts the energy above the lowest structure with this stoichiometry at 0.035 eV/atom. The calculation puts the electronic total energy at -0.4513 Ry/atom.


# 4
DFT (PBE) results for crystalline La2ErRu at its relaxed geometry.

Structure (POSCAR):
```
La2ErRu
1.0
-2.528 -1.445 2.447
0.145 -3.685 0.929
5.599 0.540 9.059
La Ru Er
2 1 1
Cartesian
3.471 -0.209 6.418
-0.255 -4.381 6.017
1.608 -2.295 6.217
0.000 0.000 0.000
```

## Properties
The calculation puts the energy above the lowest structure with this stoichiometry at 0.406 eV/atom. The calculation puts the electronic total energy at -0.4240 Ry/atom.


Q: What is the electronic total energy in the third record?
A: -0.4513 Ry/atom


Q: electronic total energy of number 3 (La2ErRu)?
A: -0.4513 Ry/atom